# 1
! Zr5Ag | the Alexandria database | PBE-GGA | relaxed; values from VASP
&SYSTEM
  ibrav = 0, nat = 6, ntyp = 2
/
ATOMIC_SPECIES
Zr 91.22 Zr.upf
Ag 107.87 Ag.upf
CELL_PARAMETERS angstrom
5.8823 0.0000 0.0000
-2.9411 5.0942 0.0000
0.0000 0.0000 4.9410
ATOMIC_POSITIONS crystal
Zr 0.0000 0.5000 0.0000
Zr 0.3333 0.6667 0.5000
Zr 0.5000 0.0000 0.0000
Zr 0.5000 0.5000 0.0000
Zr 0.6667 0.3333 0.5000
Ag 0.0000 0.0000 0.5000
! Magnetization = 0.000 μB/f.u.
! Energy of formation from the pure elements = 0.61 eV per atom
! E above lowest polymorph = 639.3 meV per atom

---

# 2
! CaGaAg3 | the Alexandria database | PBE-GGA | relaxed; values from VASP
&SYSTEM
  ibrav = 0, nat = 20, ntyp = 3
/
ATOMIC_SPECIES
Ca 40.08 Ca.upf
Ga 69.72 Ga.upf
Ag 107.87 Ag.upf
CELL_PARAMETERS angstrom
9.0190 0.0000 0.0000
0.0000 4.4082 0.0000
0.0000 0.0000 10.6949
ATOMIC_POSITIONS crystal
Ca 0.1872 0.2500 0.0020
Ca 0.3128 0.7500 0.5020
Ca 0.6872 0.2500 0.4980
Ca 0.8128 0.7500 0.9980
Ga 0.1245 0.2500 0.6415
Ga 0.3755 0.7500 0.1415
Ga 0.6245 0.2500 0.8585
Ga 0.8755 0.7500 0.3585
Ag 0.0618 0.2500 0.4038
Ag 0.1006 0.7500 0.2086
Ag 0.1467 0.7500 0.7951
Ag 0.3533 0.2500 0.2951
Ag 0.3994 0.2500 0.7086
Ag 0.4382 0.7500 0.9038
Ag 0.5618 0.2500 0.0962
Ag 0.6006 0.7500 0.2914
Ag 0.6467 0.7500 0.7049
Ag 0.8533 0.2500 0.2049
Ag 0.8994 0.2500 0.7914
Ag 0.9382 0.7500 0.5962
! Magnetization = 0.000 μB/f.u.
! Energy of formation from the pure elements = -0.19 eV per atom

---

# 3
! RbBeSbTe2 | the Alexandria database | PBE-GGA | relaxed; values from VASP
&SYSTEM
  ibrav = 0, nat = 5, ntyp = 4
/
ATOMIC_SPECIES
Rb 85.47 Rb.upf
Be 9.01 Be.upf
Sb 121.76 Sb.upf
Te 127.60 Te.upf
CELL_PARAMETERS angstrom
6.2903 0.0000 0.0000
0.0000 6.2903 0.0000
0.0000 0.0000 6.2122
ATOMIC_POSITIONS crystal
Rb 0.0000 0.0000 0.0000
Be 0.5000 0.5000 0.5000
Sb 0.0000 0.0000 0.5000
Te 0.0000 0.5000 0.0000
Te 0.5000 0.0000 0.0000
! Magnetization = 0.124 μB/f.u.
! Formation energy from raw total energies = 1.62 eV per atom
! E above lowest polymorph = 1620.6 meV per atom

---

# 4
! LiCrMo2Br | the Alexandria database | PBE-GGA | relaxed; values from VASP
&SYSTEM
  ibrav = 0, nat = 5, ntyp = 4
/
ATOMIC_SPECIES
Li 6.94 Li.upf
Cr 52.00 Cr.upf
Mo 95.94 Mo.upf
Br 79.90 Br.upf
CELL_PARAMETERS angstrom
4.4342 0.0000 0.0000
0.0000 4.4342 0.0000
0.0000 0.0000 5.2286
ATOMIC_POSITIONS crystal
Li 0.0000 0.0000 0.0000
Cr 0.0000 0.0000 0.5000
Mo 0.0000 0.5000 0.5000
Mo 0.5000 0.0000 0.5000
Br 0.5000 0.5000 0.0000
! Magnetization = 0.000 μB/f.u.
! Formation energy from raw total energies = 1.26 eV per atom

---

# 5
! Pa2Te2HC | the Alexandria database | PBE-GGA | relaxed; values from VASP
&SYSTEM
  ibrav = 0, nat = 12, ntyp = 4
/
ATOMIC_SPECIES
Pa 231.04 Pa.upf
Te 127.60 Te.upf
H 1.01 H.upf
C 12.01 C.upf
CELL_PARAMETERS angstrom
-2.8740 7.4083 2.8802
2.8740 -7.4083 2.8802
2.8740 7.4083 -2.8802
ATOMIC_POSITIONS crystal
Pa 0.0847 0.2257 0.3104
Pa 0.4153 0.7257 0.1410
Pa 0.5847 0.2743 0.8590
Pa 0.9153 0.7743 0.6896
Te 0.1781 0.7334 0.9114
Te 0.3219 0.2334 0.5553
Te 0.6781 0.7666 0.4447
Te 0.8219 0.2666 0.0886
H 0.2500 0.7500 0.5000
H 0.7500 0.2500 0.5000
C 0.2500 0.2500 0.0000
C 0.7500 0.7500 0.0000
! Magnetization = 0.692 μB/f.u.
! Calculated total energy = -7.03 eV per atom

---

What is the magnetization in the third record? 0.124 μB/f.u.

---

What did the fourth record say?
! LiCrMo2Br | the Alexandria database | PBE-GGA | relaxed; values from VASP
&SYSTEM
  ibrav = 0, nat = 5, ntyp = 4
/
ATOMIC_SPECIES
Li 6.94 Li.upf
Cr 52.00 Cr.upf
Mo 95.94 Mo.upf
Br 79.90 Br.upf
CELL_PARAMETERS angstrom
4.4342 0.0000 0.0000
0.0000 4.4342 0.0000
0.0000 0.0000 5.2286
ATOMIC_POSITIONS crystal
Li 0.0000 0.0000 0.0000
Cr 0.0000 0.0000 0.5000
Mo 0.0000 0.5000 0.5000
Mo 0.5000 0.0000 0.5000
Br 0.5000 0.5000 0.0000
! Magnetization = 0.000 μB/f.u.
! Formation energy from raw total energies = 1.26 eV per atom